DFT (PBE-GGA) results for crystalline NaSrAg2C at its relaxed geometry.

Results
N(E_F) in states/eV per cell: 2.6
V in Å³/cell: 109
Electronic total energy in eV/atom: -3.038
Energy relative to the elements in eV per atom: 0.548

a b c (Å): 4.569 4.569 5.202
angles (deg): 90.00 90.00 90.00
Space group P4/mmm (No. 123)
Symmetry-distinct sites (fractional):
Na (0.000, 0.000, 0.000)
Sr (0.500, 0.500, 0.000)
Ag (0.000, 0.500, 0.500)
C (0.500, 0.500, 0.500)